A geometry-optimized SrSm2Hg9 structure. Source: the Alexandria database, functional GGA-PBE.

Output
total DFT energy (no corrections)	-1.506	eV/atom
M_tot	0.00	μB/cell
space-group type	No. 123

Lattice parameters (Å, degrees): 4.7650 4.7650 13.9704 90.00 90.00 90.00
Positions (direct):
1 Sr 0.0000 0.0000 0.0000
2 Sm 0.0000 0.0000 0.3378
3 Sm 0.0000 0.0000 0.6622
4 Hg 0.5000 0.5000 0.0000
5 Hg 0.5000 0.5000 0.3424
6 Hg 0.5000 0.5000 0.6576
7 Hg 0.5000 0.0000 0.1775
8 Hg 0.5000 0.0000 0.5000
9 Hg 0.5000 0.0000 0.8225
10 Hg 0.0000 0.5000 0.1775
11 Hg 0.0000 0.5000 0.5000
12 Hg 0.0000 0.5000 0.8225

A geometry-optimized Sr2SmHg6 structure. Source: the Alexandria database, functional GGA-PBE.

Output
total DFT energy (no corrections)	-1.538	eV/atom
M_tot	0.07	μB/cell
space-group type	No. 191

Lattice parameters (Å, degrees): 3.6465 8.8467 8.8467 120.00 90.00 90.00
Positions (direct):
1 Sr 0.0000 0.3333 0.6667
2 Sr 0.0000 0.6667 0.3333
3 Sm 0.0000 0.0000 0.0000
4 Hg 0.5000 0.3313 0.3313
5 Hg 0.5000 0.6687 0.6687
6 Hg 0.5000 0.0000 0.6687
7 Hg 0.5000 0.6687 0.0000
8 Hg 0.5000 0.3313 0.0000
9 Hg 0.5000 0.0000 0.3313

A geometry-optimized SrSm5Hg6 structure. Source: the Alexandria database, functional GGA-PBE.

Output
total DFT energy (no corrections)	-2.730	eV/atom
M_tot	0.85	μB/cell
space-group type	No. 65

Lattice parameters (Å, degrees): 5.4017 7.6874 8.5282 90.00 71.54 90.00
Site moments in Bohr magnetons follow the coordinates.
Positions (direct):
1 Sr 0.0000 0.0000 0.0000  0.00
2 Hg 0.8286 0.7447 0.3428  0.01
3 Hg 0.8286 0.2553 0.3428  0.01
4 Hg 0.5000 0.2597 0.0000  0.01
5 Hg 0.5000 0.7403 0.0000  0.01
6 Hg 0.1714 0.7447 0.6572  0.01
7 Hg 0.1714 0.2553 0.6572  0.01
8 Sm 0.6646 0.5000 0.6707  0.11
9 Sm 0.3339 0.0000 0.3323  0.03
10 Sm 0.0000 0.5000 0.0000  0.11
11 Sm 0.6661 0.0000 0.6677  0.03
12 Sm 0.3354 0.5000 0.3293  0.11

A geometry-optimized SrSm2Hg2 structure. Source: the Alexandria database, functional GGA-PBE.

Output
total DFT energy (no corrections)	-2.644	eV/atom
M_tot	0.65	μB/cell
space-group type	No. 65

Lattice parameters (Å, degrees): 3.8234 3.9254 10.8153 79.54 90.00 90.00
Site moments in Bohr magnetons follow the coordinates.
Positions (direct):
1 Sr 0.0000 0.0000 0.0000  0.00
2 Sm 0.0000 0.1783 0.6434  0.17
3 Sm 0.0000 0.8217 0.3566  0.17
4 Hg 0.5000 0.3969 0.2061  0.01
5 Hg 0.5000 0.6031 0.7939  0.01